# 1
RbZrCu3Te4 | PBE | relaxed

POSCAR file:
```
RbZrCu3Te4
1.0
6.715 0.000 0.000
0.000 6.715 0.000
0.000 0.000 6.715
Rb Te Zr Cu
1 4 1 3
Cartesian
0.000 0.000 0.000
1.815 1.815 1.815
1.815 4.901 4.901
4.901 4.901 1.815
4.901 1.815 4.901
3.358 3.358 3.358
3.358 3.358 0.000
3.358 0.000 3.358
0.000 3.358 3.358
```

Calculated values
**Polymorph energy (0 for the lowest one)**: 1.65 eV per formula unit

# 2
ZrFeSiAg | PBE | relaxed

POSCAR file:
```
ZrFeSiAg
1.0
-3.701 -1.847 1.803
-3.341 -1.427 -2.675
-0.777 -4.419 -0.477
Fe Zr Si Ag
1 1 1 1
Cartesian
-5.864 -5.770 -1.012
-1.955 -1.923 -0.337
0.000 0.000 0.000
-3.910 -3.846 -0.674
```

Calculated values
**Polymorph energy (0 for the lowest one)**: 0.00 eV per formula unit

# 3
SrPrO3 | PBE | relaxed

POSCAR file:
```
SrPrO3
1.0
1.747 2.313 -5.618
-2.379 -5.826 0.610
-9.681 3.801 -1.445
O Pr Sr
12 4 4
Cartesian
-6.218 3.775 -5.639
-5.043 0.772 -2.332
-7.755 2.451 -3.103
0.147 0.880 -4.139
-0.429 -2.384 -3.399
-7.007 -1.947 -1.799
-2.321 -0.847 -1.475
-6.906 0.709 -4.817
-3.643 -1.736 -3.513
-3.351 1.983 -5.016
-10.414 -0.338 -1.953
-4.095 -3.486 -0.815
-2.092 -3.157 -2.088
-4.821 -1.299 -1.467
-8.352 2.711 -5.414
-5.359 2.323 -3.939
-0.045 -0.252 -0.359
-2.194 0.264 -3.685
-8.119 0.024 -2.769
-5.427 -1.360 -5.372
```

Calculated values
**Total energy**: -134.2 eV per cell